1.
The following is a PBE calculation of a relaxed Li2Ac2Pt3 crystal, from Alexandria.

Computed properties:
- final energy (eV for the cell shown) = -144.72
- calculated formation energy (meV/atom) = -859

Lattice parameters (Å, degrees): 4.2107 19.5330 7.6619 90.00 90.00 90.00
With the nearest neighbours (Å) after each atom.
Space group Cmcm (No. 63)
One atom of each set of equivalent atoms:
Li: 0.0000 0.1917 0.0624 [8 per cell]  4 Pt 2.62-2.91, 1 Li 2.87
Ac: 0.0000 0.3434 0.2500 [4 per cell]  6 Pt 3.11-3.15, 6 Li 3.26-3.29
Ac: 0.0000 0.4431 0.7500 [4 per cell]  9 Pt 3.20-3.48
Pt: 0.0000 0.0650 0.5640 [8 per cell]  1 Li 2.66, 2 Pt 2.72-2.85
Pt: 0.0000 0.2762 0.7500 [4 per cell]  6 Li 2.62-2.91

2.
The following is a PBE calculation of a relaxed Li5Ac2Pt4 crystal, from Alexandria.

Computed properties:
- final energy (eV for the cell shown) = -97.71
- calculated formation energy (meV/atom) = -628

Lattice parameters (Å, degrees): 13.2669 5.2968 8.0399 90.00 123.53 90.00
With the nearest neighbours (Å) after each atom.
Space group C2/m (No. 12)
One atom of each set of equivalent atoms:
Li: 0.0000 0.0000 0.0000 [2 per cell]  2 Pt 2.65, 4 Li 2.87
Li: 0.0547 0.2586 0.7455 [8 per cell]  3 Pt 2.54-2.64, 2 Li 2.56-2.74
Ac: 0.2240 0.5000 0.2798 [4 per cell]  6 Pt 3.02-3.20, 2 Li 3.35
Pt: 0.1235 0.5000 0.5370 [4 per cell]  4 Li 2.54-2.64, 1 Pt 2.81
Pt: 0.2136 0.0000 0.0464 [4 per cell]  3 Li 2.56-2.65, 1 Pt 2.81

3.
The following is a PBE calculation of a relaxed LiAc2Pt9 crystal, from Alexandria.

Computed properties:
- final energy (eV for the cell shown) = -217.14
- calculated formation energy (meV/atom) = -657

Lattice parameters (Å, degrees): 5.5479 5.5479 26.7880 90.00 90.00 120.00
With the nearest neighbours (Å) after each atom.
Space group R-3m (No. 166, hexagonal axes)
One atom of each set of equivalent atoms:
Li: 0.0000 0.0000 0.0000 [3 per cell]  18 Pt 3.20-3.54
Ac: 0.0000 0.0000 0.1350 [6 per cell]  9 Pt 3.11-3.31
Pt: 0.0000 0.0000 0.3322 [6 per cell]  6 Pt 2.69-2.76
Pt: 0.0000 0.0000 0.5000 [3 per cell]  6 Pt 2.78
Pt: 0.0036 0.5018 0.9179 [18 per cell]  7 Pt 2.69-2.80

4.
The following is a PBE calculation of a relaxed LiAc6Pt4 crystal, from Alexandria.

Computed properties:
- final energy (eV for the cell shown) = -240.82
- calculated formation energy (meV/atom) = -861

Lattice parameters (Å, degrees): 4.4291 14.7264 22.8624 90.00 90.00 90.00
With the nearest neighbours (Å) after each atom.
Space group Cmcm (No. 63)
One atom of each set of equivalent atoms:
Li: 0.0000 0.1532 0.2500 [4 per cell]  6 Ac 3.49-3.57
Ac: 0.0000 0.0000 0.0000 [4 per cell]  6 Pt 3.14-3.19
Ac: 0.0000 0.1638 0.7500 [4 per cell]  2 Pt 3.02
Ac: 0.0000 0.2709 0.0811 [8 per cell]  5 Pt 3.10-3.14
Ac: 0.0000 0.4639 0.6536 [8 per cell]  3 Pt 2.98-3.01
Pt: 0.0000 0.0949 0.6254 [8 per cell]  6 Ac 3.01-3.19
Pt: 0.0000 0.3630 0.5409 [8 per cell]  6 Ac 2.98-3.14

Question: Among the records above, which one has the highest final energy?
Answer: Li5Ac2Pt4